P | Density functional theory data (PBE) for CsSrTe2N after structural relaxation.

Cell lengths 6.529, 6.529, 5.115 Å; angles 90.00, 90.00, 90.00 degrees
Each line ends with the local moment (μB).
Atoms (fractional coordinates):
Te 0.500 0.000 0.000  0.46
Te 0.000 0.500 0.000  0.46
Sr 0.000 0.000 0.000  0.01
N 0.000 0.000 0.500  1.40
Cs 0.500 0.500 0.500  0.01

Summary:
Space group ... No. 123
Magnetic moment ... 4.0 μB/f.u.

Q | Density functional theory data (PBE) for CsSrTe2N after structural relaxation.

Cell lengths 6.473, 6.473, 4.546 Å; angles 90.00, 90.00, 90.00 degrees
Each line ends with the local moment (μB).
Atoms (fractional coordinates):
Sr 0.500 0.500 0.500  0.00
Cs 0.000 0.000 0.000  0.02
Te 0.500 0.000 0.000  0.18
Te 0.000 0.500 0.000  0.18
N 0.000 0.000 0.500  0.68

Summary:
Space group ... No. 123
Magnetic moment ... 1.7 μB/f.u.

Which of them is the most stable, and which is the least stable? P and Q, in that order.